(1)
This record from the Open Quantum Materials Database describes a geometry-optimized NaNbCdTe3 structure. The functional is PBE.

Summary:
size of the total moment	0.32	μB/atom
ΔE to the lowest computed polymorph	0.0	meV/atom

Cell lengths 8.299, 4.076, 10.657 Å; angles 90.00, 107.97, 90.00 degrees
Space group P2_1/m (No. 11)
Inequivalent atoms, fractional coordinates:
Na 0.249 0.250 0.227
Nb 0.193 0.750 0.660
Cd 0.425 0.250 0.878
Te 0.062 0.750 0.375
Te 0.221 0.750 0.949
Te 0.423 0.250 0.615



(2)
This record from the Open Quantum Materials Database describes a geometry-optimized NaNdCd6 structure. The functional is PBE.

Summary:
size of the total moment	0.00	μB/atom
uncorrected energy	-13.1	eV per cell

Cell lengths 4.973, 4.973, 7.391 Å; angles 90.00, 90.00, 90.00 degrees
Space group P4/mmm (No. 123)
Inequivalent atoms, fractional coordinates:
Na 0.000 0.000 0.000
Nd 0.500 0.500 0.500
Cd 0.000 0.000 0.500
Cd 0.000 0.500 0.233
Cd 0.500 0.500 0.000



Among the records above, which one has the lowest size of the total moment? NaNdCd6



What is the formula in the second record? NaNdCd6



The lowest size of the total moment belongs to which entry? NaNdCd6



Copy entry 2 word for word.
This record from the Open Quantum Materials Database describes a geometry-optimized NaNdCd6 structure. The functional is PBE.

Summary:
size of the total moment	0.00	μB/atom
uncorrected energy	-13.1	eV per cell

Cell lengths 4.973, 4.973, 7.391 Å; angles 90.00, 90.00, 90.00 degrees
Space group P4/mmm (No. 123)
Inequivalent atoms, fractional coordinates:
Na 0.000 0.000 0.000
Nd 0.500 0.500 0.500
Cd 0.000 0.000 0.500
Cd 0.000 0.500 0.233
Cd 0.500 0.500 0.000